Entry from Alexandria via LeMat-Bulk: Ce3Dy at its PBEsol-relaxed geometry (SCAN). Values from VASP.

The structure in Quantum ESPRESSO input format:
```
&SYSTEM
  ibrav = 0, nat = 4, ntyp = 2
/
ATOMIC_SPECIES
Ce 140.12 Ce.upf
Dy 162.50 Dy.upf
ATOMIC_POSITIONS crystal
Ce 0.0000 0.0000 0.0000
Ce 0.2500 0.7500 0.5000
Ce 0.7500 0.2500 0.5000
Dy 0.5000 0.5000 0.0000
CELL_PARAMETERS angstrom
-2.3369 2.3369 4.7150
2.3369 -2.3369 4.7150
2.3369 2.3369 -4.7150
```

Results
Fermi-level density of states ... 2.003 states/eV/atom
Energy of formation ... 103 meV/atom
Space group ... No. 139

Entry from Alexandria via LeMat-Bulk: CeDy3 at its PBEsol-relaxed geometry (SCAN). Values from VASP.

The structure in Quantum ESPRESSO input format:
```
&SYSTEM
  ibrav = 0, nat = 4, ntyp = 2
/
ATOMIC_SPECIES
Ce 140.12 Ce.upf
Dy 162.50 Dy.upf
ATOMIC_POSITIONS crystal
Ce 0.0000 0.0000 0.0000
Dy 0.2500 0.7500 0.5000
Dy 0.5000 0.5000 0.0000
Dy 0.7500 0.2500 0.5000
CELL_PARAMETERS angstrom
-2.4451 2.4451 4.8815
2.4451 -2.4451 4.8815
2.4451 2.4451 -4.8815
```

Results
Fermi-level density of states ... 1.717 states/eV/atom
Energy of formation ... 59 meV/atom
Space group ... No. 139

Entry from Alexandria via LeMat-Bulk: CeDyMg2 at its PBEsol-relaxed geometry (SCAN). Values from VASP.

The structure in Quantum ESPRESSO input format:
```
&SYSTEM
  ibrav = 0, nat = 4, ntyp = 3
/
ATOMIC_SPECIES
Ce 140.12 Ce.upf
Dy 162.50 Dy.upf
Mg 24.30 Mg.upf
ATOMIC_POSITIONS crystal
Ce 0.0000 0.0000 0.0000
Dy 0.5000 0.5000 0.5000
Mg 0.2500 0.2500 0.2500
Mg 0.7500 0.7500 0.7500
CELL_PARAMETERS angstrom
0.0000 3.7519 3.7519
3.7519 0.0000 3.7519
3.7519 3.7519 0.0000
```

Results
Fermi-level density of states ... 1.201 states/eV/atom
Energy of formation ... -16 meV/atom
Space group ... No. 225

Entry from Alexandria via LeMat-Bulk: Ce3Dy2O9 at its PBEsol-relaxed geometry (SCAN). Values from VASP.

The structure in Quantum ESPRESSO input format:
```
&SYSTEM
  ibrav = 0, nat = 14, ntyp = 3
/
ATOMIC_SPECIES
Ce 140.12 Ce.upf
Dy 162.50 Dy.upf
O 16.00 O.upf
ATOMIC_POSITIONS crystal
Ce 0.0000 0.0000 0.0000
Ce 0.3989 0.3989 0.0000
Ce 0.6011 0.6011 0.0000
Dy 0.1950 0.1950 0.0000
Dy 0.8050 0.8050 0.0000
O 0.0472 0.5472 0.5000
O 0.1464 0.6464 0.5000
O 0.2500 0.7500 0.5000
O 0.3536 0.8536 0.5000
O 0.4528 0.9528 0.5000
O 0.5541 0.0541 0.5000
O 0.6585 0.1585 0.5000
O 0.8415 0.3415 0.5000
O 0.9459 0.4459 0.5000
CELL_PARAMETERS angstrom
-1.9039 1.9039 13.3827
1.9039 -1.9039 13.3827
1.9039 1.9039 -13.3827
```

Results
Fermi-level density of states ... 0.000 states/eV/atom
DFT total energy ... -337.99 eV per formula unit
Space group ... No. 119

Entry from Alexandria via LeMat-Bulk: Ce5Dy2O13 at its PBEsol-relaxed geometry (SCAN). Values from VASP.

The structure in Quantum ESPRESSO input format:
```
&SYSTEM
  ibrav = 0, nat = 20, ntyp = 3
/
ATOMIC_SPECIES
Ce 140.12 Ce.upf
Dy 162.50 Dy.upf
O 16.00 O.upf
ATOMIC_POSITIONS crystal
Ce 0.0000 0.0000 0.0000
Ce 0.1425 0.1425 0.1425
Ce 0.2857 0.2857 0.2857
Ce 0.5713 0.5713 0.5713
Ce 0.8569 0.8569 0.8569
Dy 0.4309 0.4309 0.4309
Dy 0.7140 0.7140 0.7140
O 0.0413 0.0413 0.0413
O 0.1076 0.1076 0.1076
O 0.1791 0.1791 0.1791
O 0.2508 0.2508 0.2508
O 0.3221 0.3221 0.3221
O 0.4647 0.4647 0.4647
O 0.5364 0.5364 0.5364
O 0.6079 0.6079 0.6079
O 0.6790 0.6790 0.6790
O 0.7459 0.7459 0.7459
O 0.8219 0.8219 0.8219
O 0.8935 0.8935 0.8935
O 0.9653 0.9653 0.9653
CELL_PARAMETERS angstrom
1.8901 1.0912 21.9928
-1.8901 1.0912 21.9928
0.0000 -2.1825 21.9928
```

Results
DFT total energy ... -474.76 eV per formula unit
Space group ... No. 160

Entry from Alexandria via LeMat-Bulk: Ce9DyO20 at its PBEsol-relaxed geometry (SCAN). Values from VASP.

The structure in Quantum ESPRESSO input format:
```
&SYSTEM
  ibrav = 0, nat = 30, ntyp = 3
/
ATOMIC_SPECIES
Ce 140.12 Ce.upf
Dy 162.50 Dy.upf
O 16.00 O.upf
ATOMIC_POSITIONS crystal
Ce 0.0000 0.0000 0.0000
Ce 0.1994 0.8986 0.3982
Ce 0.1998 0.4002 0.3980
Ce 0.3973 0.7986 0.8007
Ce 0.4002 0.3012 0.8012
Ce 0.5998 0.6988 0.1988
Ce 0.6027 0.2014 0.1993
Ce 0.8002 0.5998 0.6020
Ce 0.8006 0.1014 0.6018
Dy 0.0000 0.5000 0.0000
O 0.0503 0.2229 0.8488
O 0.0496 0.7265 0.8491
O 0.1489 0.6741 0.5492
O 0.1499 0.1750 0.5486
O 0.2521 0.1253 0.2494
O 0.2521 0.6259 0.2512
O 0.3510 0.0751 0.9505
O 0.3517 0.5755 0.9493
O 0.4486 0.0240 0.6498
O 0.4488 0.5251 0.6495
O 0.5512 0.4749 0.3505
O 0.5514 0.9760 0.3502
O 0.6483 0.4245 0.0507
O 0.6490 0.9249 0.0495
O 0.7479 0.3741 0.7488
O 0.7479 0.8747 0.7506
O 0.8501 0.8250 0.4514
O 0.8511 0.3259 0.4508
O 0.9504 0.2735 0.1509
O 0.9497 0.7771 0.1512
CELL_PARAMETERS angstrom
6.6026 0.0000 0.0000
-2.2005 7.2989 0.0000
-1.1004 -2.3212 8.1255
```

Results
Fermi-level density of states ... 0.861 states/eV/atom
DFT total energy ... -684.31 eV per formula unit
Space group ... No. 2

Entry from Alexandria via LeMat-Bulk: CeDyS3 at its PBEsol-relaxed geometry (SCAN). Values from VASP.

The structure in Quantum ESPRESSO input format:
```
&SYSTEM
  ibrav = 0, nat = 20, ntyp = 3
/
ATOMIC_SPECIES
Ce 140.12 Ce.upf
Dy 162.50 Dy.upf
S 32.06 S.upf
ATOMIC_POSITIONS crystal
Ce 0.1365 0.2500 0.2044
Ce 0.3635 0.7500 0.7044
Ce 0.6365 0.2500 0.2956
Ce 0.8635 0.7500 0.7956
Dy 0.2347 0.7500 0.4562
Dy 0.2653 0.2500 0.9562
Dy 0.7347 0.7500 0.0438
Dy 0.7653 0.2500 0.5438
S 0.0080 0.2500 0.3932
S 0.1253 0.7500 0.0648
S 0.1485 0.2500 0.7807
S 0.3515 0.7500 0.2807
S 0.3747 0.2500 0.5648
S 0.4920 0.7500 0.8932
S 0.5080 0.2500 0.1068
S 0.6253 0.7500 0.4352
S 0.6485 0.2500 0.7193
S 0.8515 0.7500 0.2193
S 0.8747 0.2500 0.9352
S 0.9920 0.7500 0.6068
CELL_PARAMETERS angstrom
7.2597 0.0000 0.0000
0.0000 3.9246 0.0000
0.0000 0.0000 14.9497
```

Results
Fermi-level density of states ... 0.442 states/eV/atom
DFT total energy ... -132.92 eV per formula unit
Space group ... No. 62

Entry from Alexandria via LeMat-Bulk: CeDyZn2 at its PBEsol-relaxed geometry (SCAN). Values from VASP.

The structure in Quantum ESPRESSO input format:
```
&SYSTEM
  ibrav = 0, nat = 4, ntyp = 3
/
ATOMIC_SPECIES
Ce 140.12 Ce.upf
Dy 162.50 Dy.upf
Zn 65.41 Zn.upf
ATOMIC_POSITIONS crystal
Ce 0.0000 0.0000 0.0000
Dy 0.5000 0.5000 0.5000
Zn 0.2500 0.2500 0.2500
Zn 0.7500 0.7500 0.7500
CELL_PARAMETERS angstrom
0.0000 3.5274 3.5274
3.5274 0.0000 3.5274
3.5274 3.5274 0.0000
```

Results
Fermi-level density of states ... 0.996 states/eV/atom
Energy of formation ... -317 meV/atom
Space group ... No. 225

Entry from Alexandria via LeMat-Bulk: Ce3Er at its PBEsol-relaxed geometry (SCAN). Values from VASP.

The structure in Quantum ESPRESSO input format:
```
&SYSTEM
  ibrav = 0, nat = 4, ntyp = 2
/
ATOMIC_SPECIES
Ce 140.12 Ce.upf
Er 167.26 Er.upf
ATOMIC_POSITIONS crystal
Ce 0.0000 0.0000 0.0000
Ce 0.2500 0.7500 0.5000
Ce 0.7500 0.2500 0.5000
Er 0.5000 0.5000 0.0000
CELL_PARAMETERS angstrom
-2.3324 2.3324 4.7133
2.3324 -2.3324 4.7133
2.3324 2.3324 -4.7133
```

Results
Fermi-level density of states ... 2.058 states/eV/atom
ΔE to the lowest computed polymorph ... 0 meV per atom
Energy of formation ... 96 meV/atom
Space group ... No. 139

Entry from Alexandria via LeMat-Bulk: Ce3Er at its PBEsol-relaxed geometry (SCAN). Values from VASP.

The structure in Quantum ESPRESSO input format:
```
&SYSTEM
  ibrav = 0, nat = 4, ntyp = 2
/
ATOMIC_SPECIES
Ce 140.12 Ce.upf
Er 167.26 Er.upf
ATOMIC_POSITIONS crystal
Ce 0.0000 0.0000 0.5000
Ce 0.0000 0.5000 0.0000
Ce 0.5000 0.0000 0.0000
Er 0.5000 0.5000 0.5000
CELL_PARAMETERS angstrom
4.6934 0.0000 0.0000
0.0000 4.6934 0.0000
0.0000 0.0000 4.6934
```

Results
Fermi-level density of states ... 2.171 states/eV/atom
ΔE to the lowest computed polymorph ... 11 meV per atom
Energy of formation ... 107 meV/atom
Space group ... No. 221

Entry from Alexandria via LeMat-Bulk: CeErIn2 at its PBEsol-relaxed geometry (SCAN). Values from VASP.

The structure in Quantum ESPRESSO input format:
```
&SYSTEM
  ibrav = 0, nat = 4, ntyp = 3
/
ATOMIC_SPECIES
Ce 140.12 Ce.upf
Er 167.26 Er.upf
In 114.82 In.upf
ATOMIC_POSITIONS crystal
Ce 0.0000 0.0000 0.0000
Er 0.5000 0.5000 0.5000
In 0.2500 0.2500 0.2500
In 0.7500 0.7500 0.7500
CELL_PARAMETERS angstrom
0.0000 3.7248 3.7248
3.7248 0.0000 3.7248
3.7248 3.7248 0.0000
```

Results
Fermi-level density of states ... 0.463 states/eV/atom
Energy of formation ... -559 meV/atom
Space group ... No. 225

Entry from Alexandria via LeMat-Bulk: CeErMg2 at its PBEsol-relaxed geometry (SCAN). Values from VASP.

The structure in Quantum ESPRESSO input format:
```
&SYSTEM
  ibrav = 0, nat = 4, ntyp = 3
/
ATOMIC_SPECIES
Ce 140.12 Ce.upf
Er 167.26 Er.upf
Mg 24.30 Mg.upf
ATOMIC_POSITIONS crystal
Ce 0.0000 0.0000 0.0000
Er 0.5000 0.5000 0.5000
Mg 0.2500 0.2500 0.2500
Mg 0.7500 0.7500 0.7500
CELL_PARAMETERS angstrom
0.0000 3.7393 3.7393
3.7393 0.0000 3.7393
3.7393 3.7393 0.0000
```

Results
Fermi-level density of states ... 1.102 states/eV/atom
Energy of formation ... -11 meV/atom
Space group ... No. 225